No. 1
{
  "formula": "BaTeNF2",
  "functional": "GGA-PBE",
  "state": "optimized geometry",
  "cell": [[4.890, 0.000, 0.000], [0.000, 4.890, 0.000], [0.000, 0.000, 5.981]],
  "species": ["N", "Te", "Ba", "F", "F"],
  "fractional_positions": [[0.000, 0.000, 0.500], [0.500, 0.500, 0.500], [0.000, 0.000, 0.000], [0.000, 0.500, 0.000], [0.500, 0.000, 0.000]]
}


No. 2
{
  "formula": "BaTe2NF",
  "functional": "GGA-PBE",
  "state": "optimized geometry",
  "cell": [[6.930, 0.000, 0.000], [0.000, 6.930, 0.000], [0.000, 0.000, 5.365]],
  "species": ["N", "Te", "Te", "Ba", "F"],
  "fractional_positions": [[0.000, 0.000, 0.500], [0.000, 0.500, 0.000], [0.500, 0.000, 0.000], [0.000, 0.000, 0.000], [0.500, 0.500, 0.500]]
}


It is found that the ΔE_f (raw) values, taken in the order of the records, are -0.663, 0.738 eV/atom.
It is found that the magnetization values, taken in the order of the records, are 0.50, 0.25 μB/atom.
It is found that the E above lowest polymorph values, taken in the order of the records, are 600, 793 meV per atom.